1.
Na2MgBr after structural relaxation, computed with PBE-GGA.

Unit cell a=8.428 b=8.428 c=7.587 alpha=90.00 beta=90.00 gamma=90.00
Space group I-42d (No. 122)
Unique sites:
Na: 0.201 0.250 0.125 (multiplicity 8)
Mg: 0.000 0.000 0.500 (multiplicity 4)
Br: 0.000 0.000 0.000 (multiplicity 4)

Calculated values
- Electronic total energy: -1.908 eV/atom

2.
LaPmDyPu after structural relaxation, computed with PBE-GGA.

Unit cell a=8.061 b=8.061 c=8.061 alpha=90.00 beta=90.00 gamma=90.00
Space group F-43m (No. 216)
Unique sites:
La: 0.000 0.000 0.000 (multiplicity 4)
Pm: 0.000 0.000 0.500 (multiplicity 4)
Dy: 0.250 0.250 0.250 (multiplicity 4)
Pu: 0.250 0.250 0.750 (multiplicity 4)

Calculated values
- Energy of formation: 208.6 meV/atom

3.
Ru4C after structural relaxation, computed with PBE-GGA.

Unit cell a=6.714 b=6.714 c=2.706 alpha=90.00 beta=90.00 gamma=90.00
Space group I4/m (No. 87)
Unique sites:
Ru: 0.075 0.263 0.000 (multiplicity 8)
C: 0.000 0.000 0.500 (multiplicity 2)

Calculated values
- Energy of formation: 399.4 meV/atom

| no. | volume (Å³/cell) |
| --- | --- |
| 1 | 539.0 |
| 2 | 523.8 |
| 3 | 122.0 |